[1]
The following is a PBE calculation of VSeN3 after structural relaxation, from the Alexandria database.

The structure belongs to space group Pm-3m (No. 221); the cell edges are 3.745, 3.745 and 3.745 Å and the angles 90.00°, 90.00° and 90.00°. The distinct sites, in fractional coordinates, are V at (0.000, 0.000, 0.000), Se at (0.500, 0.500, 0.500) and N at (0.000, 0.500, 0.500).

As for the energy: -5.933 eV per atom. Its total magnetization is 1.424 μB per formula unit.


[2]
The following is a PBE calculation of Tl4ZnCr after structural relaxation, from the Alexandria database.

The structure belongs to space group F-43m (No. 216); the cell edges are 8.925, 8.925 and 8.925 Å and the angles 90.00°, 90.00° and 90.00°. The distinct sites, in fractional coordinates, are Tl at (0.125, 0.125, 0.125), Zn at (0.250, 0.250, 0.750) and Cr at (0.000, 0.000, 0.500).

As for the energy: -2.790 eV per atom. The value obtained for the energy of formation from the pure elements is 0.60 eV/atom. Its total magnetization is 4.930 μB per formula unit.


[3]
The following is a PBE calculation of AlReOF2 after structural relaxation, from the Alexandria database.

The structure belongs to space group P4/mmm (No. 123); the cell edges are 4.336, 4.336 and 3.816 Å and the angles 90.00°, 90.00° and 90.00°. The distinct sites, in fractional coordinates, are Al at (0.000, 0.000, 0.000), Re at (0.500, 0.500, 0.500), O at (0.500, 0.500, 0.000) and F at (0.000, 0.500, 0.500).

As for the energy: -5.836 eV per atom. The value obtained for the energy above the most stable polymorph in this dataset is 0.101 eV per atom. Its total magnetization is 0.000 μB per formula unit.


[4]
The following is a PBE calculation of ScBePb3 after structural relaxation, from the Alexandria database.

The structure belongs to space group Pm-3m (No. 221); the cell edges are 5.103, 5.103 and 5.103 Å and the angles 90.00°, 90.00° and 90.00°. The distinct sites, in fractional coordinates, are Sc at (0.000, 0.000, 0.000), Be at (0.500, 0.500, 0.500) and Pb at (0.000, 0.500, 0.500).

As for the energy: -3.860 eV per atom. The value obtained for the energy above the most stable polymorph in this dataset is 0.000 eV per atom. The value obtained for the energy of formation from the pure elements is 0.38 eV/atom. Its total magnetization is 0.000 μB per formula unit.


[5]
The following is a PBE calculation of Tl3Sn2Hg3 after structural relaxation, from the Alexandria database.

The structure belongs to space group Immm (No. 71); the cell edges are 3.927, 5.261 and 22.084 Å and the angles 90.00°, 90.00° and 90.00°. The distinct sites, in fractional coordinates, are Tl at (0.000, 0.000, 0.000), Tl at (0.000, 0.500, 0.129), Sn at (0.000, 0.000, 0.245), Hg at (0.000, 0.000, 0.500) and Hg at (0.000, 0.500, 0.373).

As for the energy: -1.980 eV per atom. The value obtained for the energy above the most stable polymorph in this dataset is 0.000 eV per atom. The value obtained for the energy of formation from the pure elements is 0.02 eV/atom. Its total magnetization is 0.000 μB per formula unit.